Entry from the Alexandria database: a relaxed structure of TaBe2Te (GGA-PBEsol).

The calculation puts the density of states at the Fermi level at 1.64 states/eV/f.u. The value obtained for the total energy is -5.7158 eV per atom. As for the formation energy without anion corrections: 304 meV/atom. The calculation puts the density at 9.047 g/cm³. The volume comes out at 60 Å³/cell.

Cell: 3.338 3.338 5.380 Å, 90.00 90.00 90.00°
Fractional positions:
Ta (0.000, 0.000, 0.000)
Be (0.000, 0.000, 0.548)
Be (0.500, 0.500, 0.742)
Te (0.500, 0.500, 0.279)